Entry one
YNi3I: optimized geometry, PBE.

Its density of states at the Fermi level is 1.262 states/eV per atom.

The structure belongs to space group Pm-3m (No. 221); the cell edges are 4.6625, 4.6625 and 4.6625 Å and the angles 90.00°, 90.00° and 90.00°. The distinct sites, in fractional coordinates, are Y at (0.0000, 0.0000, 0.0000), Ni at (0.0000, 0.5000, 0.5000) and I at (0.5000, 0.5000, 0.5000).

Entry two
YNi3I: optimized geometry, PBE.

Its density of states at the Fermi level is 0.161 states/eV per atom.

The structure belongs to space group Pm-3m (No. 221); the cell edges are 4.8526, 4.8526 and 4.8526 Å and the angles 90.00°, 90.00° and 90.00°. The distinct sites, in fractional coordinates, are Y at (0.0000, 0.0000, 0.0000), Ni at (0.0000, 0.0000, 0.5000) and I at (0.5000, 0.5000, 0.5000).

Winner for stability: entry one

Entry one
Zn2NiI2: optimized geometry, PBE.

Its density of states at the Fermi level is 3.897 states/eV per atom.

The structure belongs to space group I4/mmm (No. 139); the cell edges are 5.7319, 5.7319 and 7.5854 Å and the angles 90.00°, 90.00° and 90.00°. The distinct sites, in fractional coordinates, are Zn at (0.0000, 0.0000, 0.1600), Ni at (0.0000, 0.0000, 0.5000) and I at (0.0000, 0.5000, 0.2500).

Entry two
Zn2NiI2: optimized geometry, PBE.

Its density of states at the Fermi level is 0.852 states/eV per atom.

The structure belongs to space group P4/mbm (No. 127); the cell edges are 7.3947, 7.3947 and 4.3433 Å and the angles 90.00°, 90.00° and 90.00°. The distinct sites, in fractional coordinates, are Zn at (0.1174, 0.3826, 0.0000), Ni at (0.0000, 0.0000, 0.0000) and I at (0.2177, 0.7177, 0.5000).

Winner for stability: entry one

Entry one
ZnNi3I: optimized geometry, PBE.

Its density of states at the Fermi level is 1.158 states/eV per atom.

The structure belongs to space group Pm-3m (No. 221); the cell edges are 4.4435, 4.4435 and 4.4435 Å and the angles 90.00°, 90.00° and 90.00°. The distinct sites, in fractional coordinates, are Zn at (0.0000, 0.0000, 0.0000), Ni at (0.0000, 0.0000, 0.5000) and I at (0.5000, 0.5000, 0.5000).

Entry two
ZnNi3I: optimized geometry, PBE.

Its density of states at the Fermi level is 0.906 states/eV per atom.

The structure belongs to space group Pm-3m (No. 221); the cell edges are 4.6358, 4.6358 and 4.6358 Å and the angles 90.00°, 90.00° and 90.00°. The distinct sites, in fractional coordinates, are Zn at (0.0000, 0.0000, 0.0000), Ni at (0.0000, 0.5000, 0.5000) and I at (0.5000, 0.5000, 0.5000).

Winner for stability: entry one

Entry one
ZrNi2I: optimized geometry, PBE.

Its density of states at the Fermi level is 0.989 states/eV per atom.

The structure belongs to space group Fm-3m (No. 225); the cell edges are 6.5271, 6.5271 and 6.5271 Å and the angles 90.00°, 90.00° and 90.00°. The distinct sites, in fractional coordinates, are Zr at (0.0000, 0.0000, 0.0000), Ni at (0.2500, 0.2500, 0.2500) and I at (0.0000, 0.0000, 0.5000).

Entry two
ZrNi2I: optimized geometry, PBE.

Its density of states at the Fermi level is 1.118 states/eV per atom.

The structure belongs to space group I-42d (No. 122); the cell edges are 7.1713, 7.1713 and 5.6266 Å and the angles 90.00°, 90.00° and 90.00°. The distinct sites, in fractional coordinates, are Zr at (0.0000, 0.0000, 0.0000), Ni at (0.2357, 0.7500, 0.6250) and I at (0.0000, 0.0000, 0.5000).

Winner for stability: entry two

Entry one
ZrNi2I2: optimized geometry, PBE.

Its density of states at the Fermi level is 0.835 states/eV per atom.

The structure belongs to space group P4/mbm (No. 127); the cell edges are 7.5583, 7.5583 and 3.4770 Å and the angles 90.00°, 90.00° and 90.00°. The distinct sites, in fractional coordinates, are Zr at (0.0000, 0.0000, 0.0000), Ni at (0.1428, 0.3572, 0.5000) and I at (0.1648, 0.6648, 0.0000).

Entry two
ZrNi2I2: optimized geometry, PBE.

Its density of states at the Fermi level is 0.366 states/eV per atom.

The structure belongs to space group I4/mmm (No. 139); the cell edges are 3.5766, 3.5766 and 15.1840 Å and the angles 90.00°, 90.00° and 90.00°. The distinct sites, in fractional coordinates, are Zr at (0.0000, 0.0000, 0.0000), Ni at (0.0000, 0.5000, 0.2500) and I at (0.0000, 0.0000, 0.3829).

Winner for stability: entry two

Entry one
ZrNi3I: optimized geometry, PBE.

Its density of states at the Fermi level is 1.483 states/eV per atom.

The structure belongs to space group Pm-3m (No. 221); the cell edges are 4.5761, 4.5761 and 4.5761 Å and the angles 90.00°, 90.00° and 90.00°. The distinct sites, in fractional coordinates, are Zr at (0.0000, 0.0000, 0.0000), Ni at (0.0000, 0.5000, 0.5000) and I at (0.5000, 0.5000, 0.5000).

Entry two
ZrNi3I: optimized geometry, PBE.

Its density of states at the Fermi level is 1.109 states/eV per atom.

The structure belongs to space group Pm-3m (No. 221); the cell edges are 4.7486, 4.7486 and 4.7486 Å and the angles 90.00°, 90.00° and 90.00°. The distinct sites, in fractional coordinates, are Zr at (0.0000, 0.0000, 0.0000), Ni at (0.0000, 0.0000, 0.5000) and I at (0.5000, 0.5000, 0.5000).

Winner for stability: entry one

Entry one
NpI4: optimized geometry, PBE.

Its density of states at the Fermi level is 1.618 states/eV per atom.

The structure belongs to space group C2/c (No. 15); the cell edges are 14.8582, 9.0891 and 7.6958 Å and the angles 90.00°, 92.14° and 90.00°. The distinct sites, in fractional coordinates, are Np at (0.0000, 0.1349, 0.2500), I at (0.1140, 0.1106, 0.9296) and I at (0.1238, 0.3538, 0.3882).

Entry two
NpI4: optimized geometry, PBE.

Its density of states at the Fermi level is 2.244 states/eV per atom.

The structure belongs to space group P-42_1c (No. 114); the cell edges are 6.9981, 6.9981 and 7.5142 Å and the angles 90.00°, 90.00° and 90.00°. The distinct sites, in fractional coordinates, are Np at (0.0000, 0.0000, 0.0000) and I at (0.1802, 0.2499, 0.3466).

Entry three
NpI4: optimized geometry, PBE.

Its density of states at the Fermi level is 3.289 states/eV per atom.

The structure belongs to space group Pm-3m (No. 221); the cell edges are 6.0875, 6.0875 and 6.0875 Å and the angles 90.00°, 90.00° and 90.00°. The distinct sites, in fractional coordinates, are Np at (0.0000, 0.0000, 0.0000), I at (0.0000, 0.0000, 0.5000) and I at (0.5000, 0.5000, 0.5000).

Winner for stability: entry one

Entry one
NpIO5: optimized geometry, PBE.

Its density of states at the Fermi level is 0.708 states/eV per atom.

The structure belongs to space group C2/c (No. 15); the cell edges are 8.9558, 7.2844 and 8.0342 Å and the angles 90.00°, 115.06° and 90.00°. The distinct sites, in fractional coordinates, are Np at (0.0000, 0.0000, 0.0000), I at (0.0000, 0.4703, 0.2500), O at (0.0000, 0.0721, 0.7500), O at (0.0134, 0.3075, 0.0800) and O at (0.2477, 0.4780, 0.3850).

Entry two
NpIO5: optimized geometry, PBE.

Its density of states at the Fermi level is 0.309 states/eV per atom.

The structure belongs to space group Pna2_1 (No. 33); the cell edges are 14.0136, 6.0989 and 5.6117 Å and the angles 90.00°, 90.00° and 90.00°. The distinct sites, in fractional coordinates, are Np at (0.0291, 0.2489, 0.0000), I at (0.2168, 0.5146, 0.4972), O at (0.0114, 0.0146, 0.2092), O at (0.0446, 0.4841, 0.7777), O at (0.1397, 0.7462, 0.4225), O at (0.1744, 0.3186, 0.2732) and O at (0.1761, 0.1087, 0.8394).

Winner for stability: entry two

Entry one
NpPdI6: optimized geometry, PBE.

Its density of states at the Fermi level is 0.457 states/eV per atom.

The structure belongs to space group C2/m (No. 12); the cell edges are 8.0546, 12.6950 and 8.2190 Å and the angles 90.00°, 119.26° and 90.00°. The distinct sites, in fractional coordinates, are Np at (0.0000, 0.0000, 0.0000), Pd at (0.0000, 0.0000, 0.5000), I at (0.0124, 0.1558, 0.7239) and I at (0.0852, 0.5000, 0.7902).

Entry two
NpPdI6: optimized geometry, PBE.

Its density of states at the Fermi level is 1.052 states/eV per atom.

The structure belongs to space group P-1 (No. 2); the cell edges are 6.6160, 7.7616 and 8.4418 Å and the angles 63.27°, 68.82° and 87.15°. The distinct sites, in fractional coordinates, are Np at (0.0000, 0.0000, 0.0000), Pd at (0.5000, 0.5000, 0.0000), I at (0.0269, 0.8054, 0.3754), I at (0.2901, 0.3820, 0.8413) and I at (0.4101, 0.8549, 0.8138).

Winner for stability: entry one

Entry one
RbNp2I8: optimized geometry, PBE.

Its density of states at the Fermi level is 1.655 states/eV per atom.

The structure belongs to space group C2/m (No. 12); the cell edges are 16.5280, 8.8974 and 9.4276 Å and the angles 90.00°, 104.70° and 90.00°. The distinct sites, in fractional coordinates, are Rb at (0.0000, 0.0000, 0.0000), Np at (0.1922, 0.0000, 0.6663), I at (0.1016, 0.2471, 0.7577), I at (0.1329, 0.5000, 0.1746) and I at (0.1801, 0.0000, 0.3502).

Entry two
RbNp2I8: optimized geometry, PBE.

Its density of states at the Fermi level is 1.215 states/eV per atom.

The structure belongs to space group P-3 (No. 147); the cell edges are 10.9541, 10.9541 and 6.1598 Å and the angles 90.00°, 90.00° and 120.00°. The distinct sites, in fractional coordinates, are Rb at (0.0000, 0.0000, 0.0000), Np at (0.3333, 0.6667, 0.2526), I at (0.1777, 0.3576, 0.2653) and I at (0.3333, 0.6667, 0.7621).

Winner for stability: entry two

Entry one
Np4S6I: optimized geometry, PBE.

Its density of states at the Fermi level is 2.884 states/eV per atom.

The structure belongs to space group I-42m (No. 121); the cell edges are 7.4108, 7.4108 and 9.9809 Å and the angles 90.00°, 90.00° and 90.00°. The distinct sites, in fractional coordinates, are Np at (0.2146, 0.2146, 0.1026), S at (0.0000, 0.5000, 0.0000), S at (0.1497, 0.1497, 0.8353) and I at (0.0000, 0.0000, 0.5000).

Entry two
Np4S6I: optimized geometry, PBE.

Its density of states at the Fermi level is 3.044 states/eV per atom.

The structure belongs to space group P-6m2 (No. 187); the cell edges are 8.4454, 8.4454 and 3.9034 Å and the angles 90.00°, 90.00° and 120.00°. The distinct sites, in fractional coordinates, are Np at (0.0000, 0.0000, 0.0000), Np at (0.0358, 0.5179, 0.5000), S at (0.2070, 0.4141, 0.0000), S at (0.2749, 0.1374, 0.5000) and I at (0.6667, 0.3333, 0.0000).

Winner for stability: entry two